# InHg2Pb2

A relaxed InHg2Pb2 crystal (PBE, Alexandria via LeMat-Bulk).

## Properties
- ΔE_f (eV per atom) = 0.092
- volume (Å³ per cell) = 298.1
- spin magnetization (Bohr magnetons per cell) = 0.00
- space group = P4/mbm, No. 127

Cell lengths 8.6914, 8.6914, 3.9466 Å; angles 90.00, 90.00, 90.00 degrees
With the nearest neighbours (Å) after each atom.
Sites, in units of the cell vectors:
Pb 0.8619 0.6381 0.0000  6 Hg 3.13-3.29, 2 In 3.37, 1 Pb 3.39
Pb 0.1381 0.3619 0.0000  6 Hg 3.13-3.29, 2 In 3.37, 1 Pb 3.39
Pb 0.6381 0.1381 0.0000  6 Hg 3.13-3.29, 2 In 3.37, 1 Pb 3.39
In 0.0000 0.0000 0.0000  4 Pb 3.37
Hg 0.6638 0.8362 0.5000  6 Pb 3.13-3.29
Hg 0.1638 0.6638 0.5000  6 Pb 3.13-3.29
Pb 0.3619 0.8619 0.0000  6 Hg 3.13-3.29, 2 In 3.37, 1 Pb 3.39
Hg 0.3362 0.1638 0.5000  6 Pb 3.13-3.29
Hg 0.8362 0.3362 0.5000  6 Pb 3.13-3.29
In 0.5000 0.5000 0.0000  4 Pb 3.37

***

# ScPbBr2

A relaxed ScPbBr2 crystal (PBE, Alexandria via LeMat-Bulk).

## Properties
- volume (Å³ per cell) = 105.3
- formation energy without anion corrections (eV per atom) = -0.418
- spin magnetization (Bohr magnetons per cell) = 0.00
- space group = I4/mmm, No. 139

Cell lengths 5.7266, 5.7266, 5.7266 Å; angles 130.77, 130.77, 72.18 degrees
With the nearest neighbours (Å) after each atom.
Sites, in units of the cell vectors:
Br 0.5000 0.5000 0.0000  4 Sc 3.32, 4 Pb 3.32, 4 Br 3.37
Sc 0.7500 0.2500 0.5000  8 Br 3.32, 4 Pb 3.37
Br 0.0000 0.0000 0.0000  4 Pb 3.32, 4 Sc 3.32, 4 Br 3.37
Pb 0.2500 0.7500 0.5000  8 Br 3.32, 4 Sc 3.37

***

# Cs2VSi

A relaxed Cs2VSi crystal (PBE, Alexandria via LeMat-Bulk).

## Properties
- volume (Å³ per cell) = 468.6
- formation energy without anion corrections (eV per atom) = 0.660
- spin magnetization (Bohr magnetons per cell) = 6.99
- space group = I-42d, No. 122

Cell lengths 13.9127, 13.9127, 10.1313 Å; angles 46.64, 46.64, 90.00 degrees
With the nearest neighbours (Å) after each atom.
Sites, in units of the cell vectors:
Cs 0.8707 0.1250 0.2500  2 V 3.53, 2 Si 3.92
V 0.7500 0.2500 0.5000  2 Si 2.42
Si 0.5000 0.5000 0.0000  2 V 2.42
Si 0.2500 0.7500 0.5000  2 V 2.42
Cs 0.3750 0.1293 0.7500  2 V 3.53, 2 Si 3.92
Cs 0.8750 0.1207 0.7500  2 V 3.53, 2 Si 3.92
V 0.0000 0.0000 0.0000  2 Si 2.42
Cs 0.8793 0.6250 0.2500  2 V 3.53, 2 Si 3.92

***

# Ca2ZrTe

A relaxed Ca2ZrTe crystal (PBE, Alexandria via LeMat-Bulk).

## Properties
- volume (Å³ per cell) = 108.2
- formation energy without anion corrections (eV per atom) = 0.025
- spin magnetization (Bohr magnetons per cell) = 0.00
- space group = F-43m, No. 216

Cell lengths 5.3485, 5.3485, 5.3485 Å; angles 60.00, 60.00, 60.00 degrees
With the nearest neighbours (Å) after each atom.
Sites, in units of the cell vectors:
Zr 0.7500 0.7500 0.7500  4 Ca 3.28, 4 Te 3.28
Ca 0.2500 0.2500 0.2500  4 Te 3.28, 4 Ca 3.28
Te 0.5000 0.5000 0.5000  4 Zr 3.28, 4 Ca 3.28
Ca 0.0000 0.0000 0.0000  4 Ca 3.28, 4 Zr 3.28

***

# CeAg2Cl6

A relaxed CeAg2Cl6 crystal (PBE, Alexandria via LeMat-Bulk).

## Properties
- volume (Å³ per cell) = 266.6
- formation energy without anion corrections (eV per atom) = -1.271
- spin magnetization (Bohr magnetons per cell) = 0.00
- space group = R3, No. 146

Cell lengths 6.9415, 6.9415, 7.5409 Å; angles 62.60, 62.60, 60.00 degrees
With the nearest neighbours (Å) after each atom.
Sites, in units of the cell vectors:
Ag 0.5272 0.5272 0.4184  6 Cl 2.66-2.88
Ag 0.7506 0.7506 0.7481  3 Cl 2.52
Cl 0.1313 0.7317 0.7294  1 Ag 2.52, 1 Ce 2.71
Cl 0.4075 0.1313 0.7294  1 Ag 2.52, 1 Ce 2.71
Cl 0.5777 0.9380 0.2160  1 Ce 2.61, 1 Ag 2.66
Cl 0.7317 0.4075 0.7294  1 Ag 2.52, 1 Ce 2.71
Cl 0.2682 0.5777 0.2160  1 Ce 2.61, 1 Ag 2.66
Ce 0.3333 0.3333 0.0001  6 Cl 2.61-2.71
Cl 0.9380 0.2682 0.2160  1 Ce 2.61, 1 Ag 2.66

***

# Mn2TlAs

A relaxed Mn2TlAs crystal (PBE, Alexandria via LeMat-Bulk).

## Properties
- ΔE_f (eV per atom) = 0.223
- volume (Å³ per cell) = 78.4
- spin magnetization (Bohr magnetons per cell) = 7.28
- space group = R-3m, No. 166

Cell lengths 7.5001, 7.5001, 7.5001 Å; angles 27.32, 27.32, 27.32 degrees
With the nearest neighbours (Å) after each atom.
Sites, in units of the cell vectors:
Mn 0.0157 0.0157 0.0157  3 As 2.52
As 0.7500 0.7500 0.7500  6 Mn 2.52
Mn 0.4843 0.4843 0.4843  3 As 2.52
Tl 0.2500 0.2500 0.2500  6 Mn 2.96

***

# Sm4Tl2I3

A relaxed Sm4Tl2I3 crystal (PBE, Alexandria via LeMat-Bulk).

## Properties
- volume (Å³ per cell) = 323.1
- formation energy without anion corrections (eV per atom) = -0.760
- spin magnetization (Bohr magnetons per cell) = 0.00
- space group = P-3m1, No. 164

Cell lengths 4.3749, 4.3749, 19.4824 Å; angles 89.98, 90.02, 119.96 degrees
With the nearest neighbours (Å) after each atom.
Sites, in units of the cell vectors:
I 0.0000 0.0000 0.0000  6 Sm 3.25
I 0.3333 0.6667 0.6044  3 Sm 3.20
Sm 0.0001 0.9999 0.7052  3 Tl 3.14, 3 I 3.20
Tl 0.3333 0.6667 0.1987  6 Sm 3.12-3.14
I 0.6667 0.3333 0.3956  3 Sm 3.20
Sm 0.9999 0.0001 0.2948  3 Tl 3.14, 3 I 3.20
Sm 0.3333 0.6667 0.8952  3 Tl 3.12, 3 I 3.25
Sm 0.6667 0.3333 0.1048  3 Tl 3.12, 3 I 3.25
Tl 0.6667 0.3333 0.8013  6 Sm 3.12-3.14

***

# MgPPd2N

A relaxed MgPPd2N crystal (PBE, Alexandria via LeMat-Bulk).

## Properties
- volume (Å³ per cell) = 72.4
- formation energy without anion corrections (eV per atom) = 0.195
- spin magnetization (Bohr magnetons per cell) = 0.00
- space group = P4/mmm, No. 123

Cell lengths 4.2355, 4.0354, 4.2355 Å; angles 90.00, 90.00, 90.00 degrees
With the nearest neighbours (Å) after each atom.
Sites, in units of the cell vectors:
N 0.0000 0.0000 0.0000  2 P 2.02, 4 Pd 2.12
Pd 0.5000 0.0000 0.0000  2 N 2.12
Mg 0.5000 0.5000 0.5000  8 Pd 2.93, 4 P 2.99
Pd 0.0000 0.0000 0.5000  2 N 2.12
P 0.0000 0.5000 0.0000  2 N 2.02

***

# LiTbHf

A relaxed LiTbHf crystal (PBE, Alexandria via LeMat-Bulk).

## Properties
- ΔE_f (eV per atom) = 0.197
- volume (Å³ per cell) = 72.7
- spin magnetization (Bohr magnetons per cell) = 0.00
- space group = I4mm, No. 107

Cell lengths 3.3104, 3.3104, 7.0333 Å; angles 103.61, 103.61, 90.00 degrees
With the nearest neighbours (Å) after each atom.
Sites, in units of the cell vectors:
Li 0.3246 0.3246 0.6492  4 Hf 3.11, 4 Li 3.31, 4 Tb 3.35
Hf 0.6698 0.6698 0.3396  4 Li 3.11, 4 Tb 3.20, 4 Hf 3.31
Tb 0.0056 0.0056 0.0111  4 Hf 3.20, 4 Tb 3.31, 4 Li 3.35

***

# Cr2GePd8

A relaxed Cr2GePd8 crystal (PBE, Alexandria via LeMat-Bulk).

## Properties
- ΔE_f (eV per atom) = -0.131
- volume (Å³ per cell) = 171.3
- spin magnetization (Bohr magnetons per cell) = 6.56
- space group = Immm, No. 71

Cell lengths 4.4288, 5.7711, 7.6257 Å; angles 112.23, 106.88, 90.00 degrees
With the nearest neighbours (Å) after each atom.
Sites, in units of the cell vectors:
Pd 0.6403 0.8760 0.2805  1 Ge 2.42, 2 Cr 2.68
Pd 0.3597 0.5955 0.7195  1 Ge 2.42, 2 Cr 2.68
Pd 0.3597 0.1240 0.7195  1 Ge 2.42, 2 Cr 2.68
Cr 0.1884 0.6884 0.3767  12 Pd 2.68-2.89
Pd 0.0000 0.2588 0.0000  2 Ge 2.67, 8 Pd 2.78-2.99, 2 Cr 2.88
Pd 0.6403 0.4045 0.2805  1 Ge 2.42, 2 Cr 2.68
Pd 0.8182 0.8182 0.6364  8 Pd 2.75-2.86, 4 Cr 2.82-2.89
Pd 0.0000 0.7412 0.0000  2 Ge 2.67, 8 Pd 2.78-2.99, 2 Cr 2.88
Ge 0.5000 0.0000 0.0000  8 Pd 2.42-2.67
Pd 0.1818 0.1818 0.3636  8 Pd 2.75-2.86, 4 Cr 2.82-2.89
Cr 0.8116 0.3116 0.6233  12 Pd 2.68-2.89

***

# Nb4B2N

A relaxed Nb4B2N crystal (PBE, Alexandria via LeMat-Bulk).

## Properties
- volume (Å³ per cell) = 100.3
- formation energy without anion corrections (eV per atom) = 0.049
- spin magnetization (Bohr magnetons per cell) = 0.00
- space group = I4/mmm, No. 139

Cell lengths 3.9500, 3.9500, 7.0073 Å; angles 73.63, 73.63, 90.00 degrees
With the nearest neighbours (Å) after each atom.
Sites, in units of the cell vectors:
Nb 0.0000 0.5000 0.0000  2 N 1.98
B 0.3599 0.3599 0.2802  1 Nb 2.32
B 0.6401 0.6401 0.7198  1 Nb 2.32
Nb 0.8203 0.8203 0.3594  1 N 2.31, 1 B 2.32
Nb 0.5000 0.0000 0.0000  2 N 1.98
Nb 0.1797 0.1797 0.6406  1 N 2.31, 1 B 2.32
N 0.0000 0.0000 0.0000  4 Nb 1.98

***

# Cs2PrAsSe4

A relaxed Cs2PrAsSe4 crystal (PBE, Alexandria via LeMat-Bulk).

## Properties
- volume (Å³ per cell) = 530.7
- formation energy without anion corrections (eV per atom) = -0.995
- spin magnetization (Bohr magnetons per cell) = 0.00
- space group = Imma, No. 74

Cell lengths 9.0879, 9.0879, 9.1376 Å; angles 120.18, 120.18, 90.00 degrees
With the nearest neighbours (Å) after each atom.
Sites, in units of the cell vectors:
Pr 0.0000 0.5000 0.5000  6 Se 3.03-3.05
Se 0.1878 0.7447 0.9662  1 As 2.86, 2 Pr 3.03
Se 0.7655 0.7346 0.5530  2 As 2.90, 1 Pr 3.05
Cs 0.5000 0.5000 0.0000  6 Se 3.58-3.59
Pr 0.0000 0.5000 0.0000  6 Se 3.03-3.05
Se 0.2345 0.2654 0.4470  2 As 2.90, 1 Pr 3.05
As 0.0000 0.0000 0.0000  6 Se 2.86-2.90
Se 0.7553 0.3122 0.5337  1 As 2.86, 2 Pr 3.03
Cs 0.0000 0.0000 0.5000  6 Se 3.58-3.59
Cs 0.5000 0.0000 0.5000  6 Se 3.45
As 0.5000 0.5000 0.5000  6 Se 2.86-2.90
Se 0.7654 0.7345 0.9470  2 As 2.90, 1 Pr 3.05
Cs 0.5000 0.0000 0.0000  6 Se 3.45
Se 0.2447 0.6878 0.4662  1 As 2.86, 2 Pr 3.03
Se 0.8122 0.2553 0.0338  1 As 2.86, 2 Pr 3.03
Se 0.2346 0.2655 0.0530  2 As 2.90, 1 Pr 3.05

***

# MgBi2Pd8

A relaxed MgBi2Pd8 crystal (PBE, Alexandria via LeMat-Bulk).

## Properties
- ΔE_f (eV per atom) = -0.211
- volume (Å³ per cell) = 200.3
- spin magnetization (Bohr magnetons per cell) = 0.00
- space group = C2/m, No. 12

Cell lengths 4.7052, 7.3778, 7.3979 Å; angles 60.09, 77.43, 64.13 degrees
With the nearest neighbours (Å) after each atom.
Sites, in units of the cell vectors:
Pd 0.8757 0.0958 0.2172  2 Bi 2.71-2.91, 5 Pd 2.72-3.03, 1 Mg 3.00
Pd 0.6815 0.6055 0.0000  1 Mg 2.65, 4 Pd 2.71-2.77, 2 Bi 2.80
Pd 0.1243 0.6871 0.2172  2 Bi 2.71-2.91, 5 Pd 2.72-3.03, 1 Mg 3.00
Bi 0.0000 0.3088 0.3824  8 Pd 2.70-2.91
Pd 0.8757 0.3129 0.7828  2 Bi 2.71-2.91, 5 Pd 2.72-3.03, 1 Mg 3.00
Pd 0.5000 0.2054 0.5891  1 Mg 2.63, 2 Bi 2.70, 2 Pd 2.93
Pd 0.5000 0.7946 0.4109  1 Mg 2.63, 2 Bi 2.70, 2 Pd 2.93
Pd 0.3185 0.3945 0.0000  1 Mg 2.65, 4 Pd 2.71-2.77, 2 Bi 2.80
Bi 0.0000 0.6912 0.6176  8 Pd 2.70-2.91
Pd 0.1243 0.9042 0.7828  2 Bi 2.71-2.91, 5 Pd 2.72-3.03, 1 Mg 3.00
Mg 0.5000 0.0000 0.0000  4 Pd 2.63-2.65

***

Number 1: calculated total energy -2.06 eV per atom. Number 2: calculated total energy -3.76 eV per atom. Number 3: calculated total energy -3.40 eV per atom. Number 4: calculated total energy -3.90 eV per atom. Number 5: calculated total energy -3.80 eV per atom. Number 6: calculated total energy -6.12 eV per atom. Number 7: calculated total energy -3.90 eV per atom. Number 8: calculated total energy -4.95 eV per atom. Number 9: calculated total energy -5.30 eV per atom. Number 10: calculated total energy -6.08 eV per atom. Number 11: calculated total energy -8.80 eV per atom. Number 12: calculated total energy -4.13 eV per atom. Number 13: calculated total energy -4.84 eV per atom.